NbCoO4, relaxed, DFT GGA+U; calculated volume = 71.0 Å³/f.u.; crystal system = monoclinic; energy = -91.99 eV/cell
1.0
0.000 -3.793 0.000
-6.061 1.896 0.010
1.978 0.000 -6.179
Co Nb O
2 2 8
Direct
0.796 0.592 0.171
0.204 0.408 0.829
0.105 0.209 0.239
0.895 0.791 0.761
0.942 0.884 0.134
0.264 0.528 0.140
0.644 0.287 0.200
0.859 0.718 0.470
0.141 0.282 0.530
0.356 0.713 0.800
0.736 0.472 0.860
0.058 0.116 0.866